[1]
KNi2Au after structural relaxation. Source: the Alexandria database, functional PBE.

Calculated values
VASP energy = -3.184 eV/atom
space group = F-43m, No. 216
ΔE to the lowest computed polymorph = 499 meV per atom
ΔE_f = 800 meV/atom
M_tot = 0.2 μB/cell

```
4
Lattice="-2.040 -3.144 2.767 -1.273 -4.138 -1.719 2.307 -3.850 1.247" Properties=species:S:1:pos:R:3 pbc="T T T"
Au -0.503 -5.566 1.148
K -0.755 -8.350 1.721
Ni 0.000 0.000 0.000
Ni -0.252 -2.783 0.574
```

[2]
KNiAu2 after structural relaxation. Source: the Alexandria database, functional PBE.

Calculated values
VASP energy = -2.963 eV/atom
space group = P4/mmm, No. 123
ΔE to the lowest computed polymorph = 321 meV per atom
ΔE_f = 396 meV/atom
M_tot = 0.0 μB/cell

```
4
Lattice="-4.286 0.493 -0.237 0.130 -0.900 -4.223 -0.515 -4.063 0.850" Properties=species:S:1:pos:R:3 pbc="T T T"
Au 0.000 0.000 0.000
Au -2.078 -0.203 -2.230
K -2.401 -1.785 0.306
Ni -0.192 -2.482 -1.686
```

[3]
K2NiAu after structural relaxation. Source: the Alexandria database, functional PBE.

Calculated values
VASP energy = -2.385 eV/atom
space group = Fm-3m, No. 225
ΔE to the lowest computed polymorph = 348 meV per atom
ΔE_f = 429 meV/atom
M_tot = 0.9 μB/cell

```
4
Lattice="1.369 3.512 4.111 -3.088 0.200 4.640 2.043 -1.982 4.796" Properties=species:S:1:pos:R:3 pbc="T T T"
Ni 0.000 0.000 0.000
K 0.081 0.432 3.387
K 0.243 1.297 10.161
Au 0.162 0.865 6.774
```

[4]
KNiAu2 after structural relaxation. Source: the Alexandria database, functional PBE.

Calculated values
VASP energy = -2.914 eV/atom
space group = I4/mmm, No. 139
ΔE to the lowest computed polymorph = 369 meV per atom
ΔE_f = 444 meV/atom
M_tot = 0.4 μB/cell

```
4
Lattice="5.310 0.180 0.000 1.722 5.026 0.000 -3.516 -2.603 3.015" Properties=species:S:1:pos:R:3 pbc="T T T"
Au 0.000 0.000 0.000
Au 3.516 2.603 0.000
K 0.861 2.513 1.508
Ni 2.655 0.090 1.508
```

[5]
KNi2Au after structural relaxation. Source: the Alexandria database, functional PBE.

Calculated values
VASP energy = -3.598 eV/atom
space group = Cm, No. 8
ΔE to the lowest computed polymorph = 86 meV per atom
ΔE_f = 386 meV/atom
M_tot = 1.1 μB/cell

```
4
Lattice="6.166 0.090 0.016 5.518 2.754 0.016 2.292 0.558 5.456" Properties=species:S:1:pos:R:3 pbc="T T T"
Au 6.741 1.641 3.771
K 3.161 0.770 1.380
Ni 2.885 0.702 4.537
Ni 10.469 2.549 3.999
```